[1]
Crystalline HgAsOsSe2 at its relaxed geometry, computed with PBE.

```
HgAsOsSe2
1.0
-2.2510 -3.1644 3.2833
4.1863 0.0176 2.8871
-1.6650 3.6661 2.3918
Os Se Hg As
1 2 1 1
Cartesian
0.0000 0.0000 0.0000
-1.1255 -1.5822 1.6417
2.0931 0.0088 1.4436
0.1351 0.2597 4.2811
-0.8325 1.8331 1.1959
```

As for the energy: -4.061 eV per atom. Its space group is P4/mmm, No. 123. The formation energy (no corrections) comes out at 0.569 eV/atom. The value obtained for the distance to the lowest polymorph of the same formula is 0 meV per atom. As for the density of states at the Fermi level: 1.265 states/eV per atom.

[2]
Crystalline Zr2HgAsOs at its relaxed geometry, computed with PBE.

```
Zr2HgAsOs
1.0
5.1586 0.0000 0.0000
0.0000 4.6144 0.0000
0.0000 0.0000 5.1586
Hg As Zr Os
1 1 2 1
Cartesian
2.5793 2.3072 2.5793
0.0000 2.3072 0.0000
2.5793 0.0000 0.0000
0.0000 0.0000 2.5793
0.0000 0.0000 0.0000
```

As for the energy: -6.381 eV per atom. Its space group is P4/mmm, No. 123. As for the formation energy: 26.5 kJ per mole of atoms. As for the density of states at the Fermi level: 1.205 states/eV per atom.